Record 1
The following is a DFT calculation (PBE-GGA) of K2TiHgI6 after structural relaxation.

Lattice parameters (Å, degrees): 8.6171 8.6171 8.9180 61.10 61.11 60.00
Sites, in units of the cell vectors:
I  0.2360  0.0047  0.2309
K  0.5294  0.5294  0.4117
I  0.6593  0.1336  0.7940
I  0.5284  0.2359  0.2310
I  0.0047  0.5284  0.2309
K  0.0044  0.0044  0.9868
I  0.1337  0.4131  0.7939
I  0.4131  0.6594  0.7939
Ti  0.3298  0.3299  0.0107
Hg  0.8229  0.8228  0.5314

Properties
Space group ... No. 146
ΔE_f (raw) ... -9.049 eV per formula unit

Record 2
The following is a DFT calculation (PBE-GGA) of RbCuIr3 after structural relaxation.

Lattice parameters (Å, degrees): 4.8281 4.8281 4.8281 90.00 90.00 90.00
Sites, in units of the cell vectors:
Cu  0.5000  0.5000  0.5000
Ir  0.5000  0.0000  0.0000
Rb  0.0000  0.0000  0.0000
Ir  0.0000  0.5000  0.0000
Ir  0.0000  0.0000  0.5000

Properties
Energy of formation from the pure elements ... 3433 meV per atom
Distance to the lowest polymorph of the same formula ... 1798 meV per atom
Space group ... No. 221